Below is a geometry-optimized LaNiOs2 structure, with properties calculated at the PBE-GGA level.

Cell lengths 3.9068, 3.9068, 4.5548 Å; angles 90.00, 90.00, 90.00 degrees
Fractional positions:
La 0.0000 0.0000 0.0000
Ni 0.5000 0.5000 0.0000
Os 0.0000 0.5000 0.5000
Os 0.5000 0.0000 0.5000

Properties
The value obtained for the total magnetic moment is 0.000 μB per formula unit. As for the energy above the most stable polymorph in this dataset: 581.3 meV per atom. The calculation puts the calculated density at 13.81 g cm⁻³. Its energy of formation from the pure elements is 2.0 eV/f.u.